[1]
Compound: La4NdSn2
Source: the Alexandria database
Functional: PBE
Structure: optimized geometry

Cell lengths 8.4361, 6.7042, 9.1878 Å; angles 90.00, 115.27, 90.00 degrees
Closest atoms and distances in Å follow each position.
Sites, in units of the cell vectors:
La 0.0285 0.2500 0.4924  2 Sn 3.12-3.35, 1 Nd 3.20, 2 La 3.40
La 0.1798 0.5074 0.2151  2 La 3.25-3.45, 3 Sn 3.40-3.51
La 0.1798 0.9926 0.2151  2 La 3.25-3.45, 3 Sn 3.40-3.51
La 0.3315 0.2500 0.8993  4 Sn 3.26-3.49, 1 La 3.51
La 0.6685 0.7500 0.1007  4 Sn 3.26-3.49, 1 La 3.51
La 0.8202 0.0074 0.7849  2 La 3.25-3.45, 3 Sn 3.40-3.51
La 0.8202 0.4926 0.7849  2 La 3.25-3.45, 3 Sn 3.40-3.51
La 0.9715 0.7500 0.5076  2 Sn 3.12-3.35, 1 Nd 3.20, 2 La 3.40
Nd 0.3889 0.7500 0.6415  4 Sn 3.12-3.42, 1 La 3.20
Nd 0.6111 0.2500 0.3585  4 Sn 3.12-3.42, 1 La 3.20
Sn 0.2192 0.7500 0.9059  1 Nd 3.31, 8 La 3.35-3.51
Sn 0.4315 0.2500 0.5938  4 La 3.12-3.40, 3 Nd 3.12-3.42
Sn 0.5685 0.7500 0.4062  4 La 3.12-3.40, 3 Nd 3.12-3.42
Sn 0.7808 0.2500 0.0941  1 Nd 3.31, 8 La 3.35-3.51

Results
- V (Å³ per atom) = 33.56
- symmetry = No. 11
- energy of formation (eV/atom) = -0.4470
- energy above the lowest structure with this stoichiometry (eV per atom) = 0.0094
- Fermi-level density of states (states/eV per atom) = 1.2473

***

[2]
Compound: La2TbTl2Cd2
Source: the Alexandria database
Functional: PBE
Structure: optimized geometry

Cell lengths 9.5830, 9.5830, 9.5830 Å; angles 30.05, 30.05, 30.05 degrees
Closest atoms and distances in Å follow each position.
Sites, in units of the cell vectors:
La 0.1380 0.1380 0.1380  3 Cd 3.24, 3 La 3.27, 3 Tl 3.62
La 0.8620 0.8620 0.8620  3 Cd 3.24, 3 La 3.27, 3 Tl 3.62
Tb 0.0000 0.0000 0.0000  6 Tl 3.28, 6 Cd 3.66
Tl 0.2757 0.2757 0.2757  3 Cd 2.95, 3 Tb 3.28
Tl 0.7243 0.7243 0.7243  3 Cd 2.95, 3 Tb 3.28
Cd 0.4165 0.4165 0.4165  3 Tl 2.95, 3 La 3.24
Cd 0.5835 0.5835 0.5835  3 Tl 2.95, 3 La 3.24

Results
- V (Å³ per atom) = 27.93
- symmetry = No. 166
- energy of formation (eV/atom) = -0.1924
- Fermi-level density of states (states/eV per atom) = 0.6075

***

[3]
Compound: LiAcPm
Source: the Alexandria database
Functional: PBE
Structure: optimized geometry

Cell lengths 3.8325, 3.8325, 13.6381 Å; angles 90.00, 90.00, 90.00 degrees
Closest atoms and distances in Å follow each position.
Sites, in units of the cell vectors:
Li 0.2500 0.2500 0.0452  4 Li 2.98
Li 0.7500 0.7500 0.9548  4 Li 2.98
Ac 0.2500 0.2500 0.7828  5 Li 3.58, 4 Pm 3.78, 4 Ac 3.83
Ac 0.7500 0.7500 0.2172  5 Li 3.58, 4 Pm 3.78, 4 Ac 3.83
Pm 0.2500 0.2500 0.4101  8 Pm 3.66-3.83, 4 Ac 3.78
Pm 0.7500 0.7500 0.5899  8 Pm 3.66-3.83, 4 Ac 3.78

Results
- V (Å³ per atom) = 33.39
- symmetry = No. 129
- energy of formation (eV/atom) = 0.0428
- energy above the lowest structure with this stoichiometry (eV per atom) = 0.0000
- Fermi-level density of states (states/eV per atom) = 0.8353